Hf6FeN2 | PBE | optimized geometry

Geometry as POSCAR:
```
Hf6FeN2
1.0
6.840 0.000 0.000
-3.420 5.924 0.000
0.000 0.000 3.479
Hf Fe N
6 1 2
Cartesian
-0.892 1.545 0.000
-1.988 3.444 1.739
1.784 0.000 0.000
1.432 2.480 1.739
3.976 0.000 1.739
2.528 4.379 0.000
0.000 0.000 1.739
0.000 3.949 0.000
3.420 1.975 0.000
```

Summary:
Calculated total energy ... -9.523 eV per atom
Density ... 13.60 g cm⁻³